Entry 1:
Ta2FeBS | PBE | optimized geometry

Cell lengths 4.606, 4.606, 3.626 Å; angles 90.00, 90.00, 90.00 degrees
Space group P4/mmm (No. 123)
Inequivalent atoms, fractional coordinates:
Ta: 0.000 0.500 0.000 [2 per cell]
Fe: 0.000 0.000 0.500 [1 per cell]
B: 0.500 0.500 0.500 [1 per cell]
S: 0.500 0.500 0.000 [1 per cell]

Density of states at the Fermi level (states/eV/atom): 0.9973
Uncorrected formation energy (eV/atom): 0.931

***

Entry 2:
HoZnSn | PBE | optimized geometry

Cell lengths 4.5029, 4.5029, 3.9276 Å; angles 90.00, 90.00, 120.00 degrees
Space group P3m1 (No. 156)
Inequivalent atoms, fractional coordinates:
Ho: 0.0000 0.0000 0.0000 [1 per cell]
Zn: 0.3333 0.6667 0.3986 [1 per cell]
Sn: 0.6667 0.3333 0.5350 [1 per cell]

Density of states at the Fermi level (states/eV/atom): 0.4057
Final energy (eV/f.u.): -11.3

***

Entry 3:
Gd2DyIn | PBE | optimized geometry

Cell lengths 3.590, 3.590, 9.298 Å; angles 90.00, 90.00, 90.00 degrees
Space group P4/mmm (No. 123)
Inequivalent atoms, fractional coordinates:
Gd: 0.000 0.000 0.229 [2 per cell]
Dy: 0.500 0.500 0.500 [1 per cell]
In: 0.500 0.500 0.000 [1 per cell]

Density of states at the Fermi level (states/eV/atom): 1.3458
Polymorph energy (0 for the lowest one) (eV/atom): 0.069

***

Entry 4:
PaTiCu2 | PBE | optimized geometry

Cell lengths 6.599, 6.599, 6.599 Å; angles 90.00, 90.00, 90.00 degrees
Space group Fm-3m (No. 225)
Inequivalent atoms, fractional coordinates:
Pa: 0.000 0.000 0.000 [4 per cell]
Ti: 0.000 0.000 0.500 [4 per cell]
Cu: 0.250 0.250 0.250 [8 per cell]

Density of states at the Fermi level (states/eV/atom): 1.6731
Polymorph energy (0 for the lowest one) (eV/atom): 0.123

***

Entry 5:
Ba5Tl2H2 | PBE | optimized geometry

Cell lengths 21.816, 8.114, 7.898 Å; angles 90.00, 90.00, 90.00 degrees
Space group Ima2 (No. 46)
Inequivalent atoms, fractional coordinates:
Ba: 0.011 0.244 0.000 [8 per cell]
Ba: 0.146 0.557 0.778 [8 per cell]
Ba: 0.250 0.115 0.850 [4 per cell]
Tl: 0.103 0.513 0.243 [8 per cell]
H: 0.000 0.000 0.256 [4 per cell]
H: 0.250 0.092 0.193 [4 per cell]

Density of states at the Fermi level (states/eV/atom): 0.8739
Final energy (eV/f.u.): -24.0

***

Entry 6:
RePd | PBE | optimized geometry

Cell lengths 5.613, 5.613, 5.613 Å; angles 90.00, 90.00, 90.00 degrees
Space group F-43m (No. 216)
Inequivalent atoms, fractional coordinates:
Re: 0.000 0.000 0.000 [4 per cell]
Pd: 0.250 0.250 0.250 [4 per cell]

Density of states at the Fermi level (states/eV/atom): 1.5408
Polymorph energy (0 for the lowest one) (eV/atom): 1.751

***

Entry 7:
CsLi3Mn | PBE | optimized geometry

Cell lengths 5.654, 5.654, 5.654 Å; angles 90.00, 90.00, 90.00 degrees
Space group Pm-3m (No. 221)
Inequivalent atoms, fractional coordinates:
Cs: 0.000 0.000 0.000 [1 per cell]
Li: 0.000 0.500 0.500 [3 per cell]
Mn: 0.500 0.500 0.500 [1 per cell]

Density of states at the Fermi level (states/eV/atom): 2.0690
Polymorph energy (0 for the lowest one) (eV/atom): 0.000

***

Entry 8:
BaNiSe | PBE | optimized geometry

Cell lengths 5.4964, 5.4964, 8.7689 Å; angles 90.00, 90.00, 120.00 degrees
Space group P6_3/mmc (No. 194)
Inequivalent atoms, fractional coordinates:
Ba: 0.3333 0.6667 0.2500 [2 per cell]
Ni: 0.0000 0.0000 0.0000 [2 per cell]
Se: 0.0000 0.0000 0.2500 [2 per cell]

Density of states at the Fermi level (states/eV/atom): 0.2581
Uncorrected formation energy (eV/atom): -0.659